Entry from Alexandria: a geometry-optimized HfPaCuIr structure (GGA-PBE).

abc: 4.7705 4.7705 4.7705
angles: 60.00 60.00 60.00
Sites, in units of the cell vectors:
Cu 0.2500 0.2500 0.2500
Hf 0.5000 0.5000 0.5000
Ir 0.7500 0.7500 0.7500
Pa 0.0000 0.0000 0.0000

SG: F-43m (216)
energy of formation: -0.32 eV per atom
total energy: -33.686 eV for the cell shown